[1]
Below is crystalline NaSrEuAu at its relaxed geometry, with properties calculated at the GGA-PBE level. Values from VASP.

```
&SYSTEM
  ibrav = 0, nat = 4, ntyp = 4
/
ATOMIC_SPECIES
Au 196.97 Au.upf
Na 22.99 Na.upf
Sr 87.62 Sr.upf
Eu 151.96 Eu.upf
CELL_PARAMETERS angstrom
-2.5953 -2.2318 -4.4678
2.9945 -2.6501 -3.9608
-0.3695 -5.5904 -0.5379
ATOMIC_POSITIONS crystal
Au 0.2500 0.2500 0.2500
Na 0.7500 0.7500 0.7500
Sr 0.5000 0.5000 0.5000
Eu 0.0000 0.0000 0.0000
```

DOS at the Fermi energy (states/eV/cell): 10.4
Crystal system: cubic
Energy of formation (eV/atom): -0.2815
Theoretical density (g/cm3): 6.05
Calculated volume (Å³/cell): 126.1
Space group: F-43m (216)

[2]
Below is crystalline NdEuAu at its relaxed geometry, with properties calculated at the GGA-PBE level. Values from VASP.

```
&SYSTEM
  ibrav = 0, nat = 3, ntyp = 3
/
ATOMIC_SPECIES
Eu 151.96 Eu.upf
Nd 144.24 Nd.upf
Au 196.97 Au.upf
CELL_PARAMETERS angstrom
-3.6823 0.9519 3.5019
-4.0953 -3.1346 0.3621
-0.5279 -3.0998 4.1038
ATOMIC_POSITIONS crystal
Eu 0.0000 0.0000 0.0000
Nd 0.5000 0.5000 0.5000
Au 0.2500 0.2500 0.2500
```

DOS at the Fermi energy (states/eV/cell): 3.5
Crystal system: cubic
Energy above the lowest structure with this stoichiometry (meV per atom): 85
Energy of formation (eV/atom): -0.4154
Theoretical density (g/cm3): 8.38
Calculated volume (Å³/cell): 97.7
Space group: F-43m (216)

[3]
Below is crystalline NdEuAu2 at its relaxed geometry, with properties calculated at the GGA-PBE level. Values from VASP.

```
&SYSTEM
  ibrav = 0, nat = 4, ntyp = 3
/
ATOMIC_SPECIES
Au 196.97 Au.upf
Eu 151.96 Eu.upf
Nd 144.24 Nd.upf
CELL_PARAMETERS angstrom
5.2636 0.0000 0.0000
2.6318 4.5584 0.0000
2.6318 1.5195 4.2977
ATOMIC_POSITIONS crystal
Au 0.2500 0.2500 0.2500
Au 0.7500 0.7500 0.7500
Eu 0.0000 0.0000 0.0000
Nd 0.5000 0.5000 0.5000
```

DOS at the Fermi energy (states/eV/cell): 9.5
Crystal system: cubic
Energy above the lowest structure with this stoichiometry (meV per atom): 6
Energy of formation (eV/atom): -0.7740
Theoretical density (g/cm3): 11.11
Calculated volume (Å³/cell): 103.1
Space group: Fm-3m (225)

[4]
Below is crystalline NdEuAu at its relaxed geometry, with properties calculated at the GGA-PBE level. Values from VASP.

```
&SYSTEM
  ibrav = 0, nat = 3, ntyp = 3
/
ATOMIC_SPECIES
Au 196.97 Au.upf
Nd 144.24 Nd.upf
Eu 151.96 Eu.upf
CELL_PARAMETERS angstrom
3.7643 0.0000 0.0000
0.0000 3.7643 0.0000
-1.8822 -1.8822 6.5583
ATOMIC_POSITIONS crystal
Au 0.6744 0.6744 0.3489
Nd 0.2985 0.2985 0.5971
Eu 0.0270 0.0270 0.0541
```

DOS at the Fermi energy (states/eV/cell): 4.0
Crystal system: tetragonal
Energy above the lowest structure with this stoichiometry (meV per atom): 0
Energy of formation (eV/atom): -0.5004
Theoretical density (g/cm3): 8.81
Calculated volume (Å³/cell): 92.9
Space group: I4mm (107)

Question: theoretical density of number 1 (NaSrEuAu)?
Answer: 6.05 g/cm3

Question: The highest energy of formation belongs to which entry?
Answer: NaSrEuAu